A relaxed structure of Ba3Y2O5F2, computed with PBE.

## Properties
Its density of states at the Fermi level is 0.000 states/eV/atom. The calculation puts the magnetic moment at 0.0 μB/f.u. As for the crystal system: tetragonal. For the formation energy from raw total energies, the calculation gives -3265.0 meV per atom.

Lattice parameters (Å, degrees): 4.4449 4.4449 11.8165 100.84 100.84 90.00
With the nearest neighbours (Å) after each atom.
Element x y z (fractional)
Ba 0.1762 0.1762 0.3525  1 F 2.69, 4 O 2.72
O 0.6072 0.1072 0.2145  2 Y 2.24
O 0.5000 0.5000 0.0000  2 Y 2.17
O 0.1072 0.6072 0.2145  2 Y 2.24
F 0.2942 0.2942 0.5885  1 Y 2.52, 1 Ba 2.69
Ba 0.0000 0.0000 0.0000  12 O 3.14-3.30
Ba 0.8238 0.8238 0.6475  1 F 2.69, 4 O 2.72
Y 0.4047 0.4047 0.8093  5 O 2.17-2.24
F 0.7058 0.7058 0.4115  1 Y 2.52, 1 Ba 2.69
Y 0.5953 0.5953 0.1907  5 O 2.17-2.24
O 0.8928 0.3928 0.7855  2 Y 2.24
O 0.3928 0.8928 0.7855  2 Y 2.24

=====

A relaxed structure of BaYO2F, computed with PBE.

## Properties
Its density of states at the Fermi level is 0.000 states/eV/atom. The calculation puts the magnetic moment at 0.0 μB/f.u. As for the crystal system: tetragonal. For the formation energy from raw total energies, the calculation gives -3281.4 meV per atom.

Lattice parameters (Å, degrees): 4.4763 4.4763 4.4015 90.00 90.00 90.00
With the nearest neighbours (Å) after each atom.
Element x y z (fractional)
Ba 0.5000 0.5000 0.5000  8 O 3.14, 4 F 3.17
F 0.0000 0.0000 0.5000  2 Y 2.20
O 0.5000 0.0000 0.0000  2 Y 2.24
O 0.0000 0.5000 0.0000  2 Y 2.24
Y 0.0000 0.0000 0.0000  2 F 2.20, 4 O 2.24

=====

A relaxed structure of BaZnOF2, computed with PBE.

## Properties
Its density of states at the Fermi level is 0.000 states/eV/atom. The calculation puts the magnetic moment at 0.0 μB/f.u. As for the crystal system: tetragonal. For the formation energy from raw total energies, the calculation gives -2633.2 meV per atom. The value obtained for the energy above the most stable polymorph in this dataset is 0.0 meV per atom.

Lattice parameters (Å, degrees): 4.2907 4.2907 3.9677 90.00 90.00 90.00
With the nearest neighbours (Å) after each atom.
Element x y z (fractional)
F 0.5000 0.0000 0.0000  2 Zn 2.15
F 0.0000 0.5000 0.0000  2 Zn 2.15
Zn 0.0000 0.0000 0.0000  2 O 1.98, 4 F 2.15
O 0.0000 0.0000 0.5000  2 Zn 1.98
Ba 0.5000 0.5000 0.5000  8 F 2.92, 4 O 3.03

=====

A relaxed structure of BaZnOF2, computed with PBE.

## Properties
Its density of states at the Fermi level is 0.695 states/eV/atom. The calculation puts the magnetic moment at 0.6 μB/f.u. As for the crystal system: tetragonal. For the formation energy from raw total energies, the calculation gives -1458.6 meV per atom. The value obtained for the energy above the most stable polymorph in this dataset is 1174.7 meV per atom.

Lattice parameters (Å, degrees): 5.0189 4.7780 5.0189 90.00 90.00 90.00
With the nearest neighbours (Å) after each atom.
Element x y z (fractional)
Zn 0.5000 0.5000 0.5000  8 F 3.46, 4 O 3.55
O 0.0000 0.5000 0.0000  2 Ba 2.39
Ba 0.0000 0.0000 0.0000  2 O 2.39, 4 F 2.51
F 0.5000 0.0000 0.0000  2 Ba 2.51
F 0.0000 0.0000 0.5000  2 Ba 2.51

=====

A relaxed structure of BaZnO2F, computed with PBE.

## Properties
Its density of states at the Fermi level is 0.313 states/eV/atom. The calculation puts the magnetic moment at 0.5 μB/f.u. As for the crystal system: tetragonal. For the formation energy from raw total energies, the calculation gives -2078.9 meV per atom.

Lattice parameters (Å, degrees): 3.9947 3.9947 4.4361 90.00 90.00 90.00
With the nearest neighbours (Å) after each atom.
Element x y z (fractional)
Ba 0.5000 0.5000 0.5000  4 F 2.82, 8 O 2.98
Zn 0.0000 0.0000 0.0000  4 O 2.00, 2 F 2.22
O 0.0000 0.5000 0.0000  2 Zn 2.00
F 0.0000 0.0000 0.5000  2 Zn 2.22
O 0.5000 0.0000 0.0000  2 Zn 2.00

=====

A relaxed structure of BaZnO2F, computed with PBE.

## Properties
Its density of states at the Fermi level is 0.890 states/eV/atom. The calculation puts the magnetic moment at 2.6 μB/f.u. As for the crystal system: tetragonal. For the formation energy from raw total energies, the calculation gives -734.3 meV per atom.

Lattice parameters (Å, degrees): 5.0198 5.0198 5.0040 90.00 90.00 90.00
With the nearest neighbours (Å) after each atom.
Element x y z (fractional)
O 0.5000 0.0000 0.0000  2 Ba 2.51
Zn 0.5000 0.5000 0.5000  8 O 3.54, 4 F 3.55
Ba 0.0000 0.0000 0.0000  2 F 2.50, 4 O 2.51
O 0.0000 0.5000 0.0000  2 Ba 2.51
F 0.0000 0.0000 0.5000  2 Ba 2.50

=====

A relaxed structure of BaOsF3, computed with PBE.

## Properties
Its density of states at the Fermi level is 0.261 states/eV/atom. The calculation puts the magnetic moment at 0.8 μB/f.u. As for the crystal system: cubic. For the formation energy from raw total energies, the calculation gives -1353.5 meV per atom. The value obtained for the energy above the most stable polymorph in this dataset is 0.0 meV per atom.

Lattice parameters (Å, degrees): 4.4383 4.4383 4.4383 90.00 90.00 90.00
With the nearest neighbours (Å) after each atom.
Element x y z (fractional)
Os 0.0000 0.0000 0.0000  6 F 2.22
F 0.0000 0.0000 0.5000  2 Os 2.22
F 0.0000 0.5000 0.0000  2 Os 2.22
F 0.5000 0.0000 0.0000  2 Os 2.22
Ba 0.5000 0.5000 0.5000  12 F 3.14

=====

A relaxed structure of Ba2OsF, computed with PBE.

## Properties
Its density of states at the Fermi level is 1.816 states/eV/atom. The calculation puts the magnetic moment at 1.0 μB/f.u. As for the crystal system: cubic. For the formation energy from raw total energies, the calculation gives -420.9 meV per atom. The value obtained for the energy above the most stable polymorph in this dataset is 115.4 meV per atom.

Lattice parameters (Å, degrees): 5.3142 5.3142 5.3142 60.00 60.00 60.00
With the nearest neighbours (Å) after each atom.
Element x y z (fractional)
Os 0.5000 0.5000 0.5000  8 Ba 3.25
Ba 0.7500 0.7500 0.7500  4 F 3.25, 4 Os 3.25
Ba 0.2500 0.2500 0.2500  4 Os 3.25, 4 F 3.25
F 0.0000 0.0000 0.0000  8 Ba 3.25

=====

A relaxed structure of BaOsF3, computed with PBE.

## Properties
Its density of states at the Fermi level is 2.059 states/eV/atom. The calculation puts the magnetic moment at 5.0 μB/f.u. As for the crystal system: cubic. For the formation energy from raw total energies, the calculation gives -1028.9 meV per atom. The value obtained for the energy above the most stable polymorph in this dataset is 324.6 meV per atom.

Lattice parameters (Å, degrees): 5.0773 5.0773 5.0773 90.00 90.00 90.00
With the nearest neighbours (Å) after each atom.
Element x y z (fractional)
F 0.0000 0.0000 0.5000  2 Ba 2.54
F 0.0000 0.5000 0.0000  2 Ba 2.54
Ba 0.0000 0.0000 0.0000  6 F 2.54
F 0.5000 0.0000 0.0000  2 Ba 2.54
Os 0.5000 0.5000 0.5000  12 F 3.59

=====

A relaxed structure of Ba2OsF, computed with PBE.

## Properties
Its density of states at the Fermi level is 0.660 states/eV/atom. The calculation puts the magnetic moment at 1.0 μB/f.u. As for the crystal system: tetragonal. For the formation energy from raw total energies, the calculation gives -536.3 meV per atom. The value obtained for the energy above the most stable polymorph in this dataset is 0.0 meV per atom.

Lattice parameters (Å, degrees): 6.3092 6.3092 8.2375 67.48 67.48 90.00
With the nearest neighbours (Å) after each atom.
Element x y z (fractional)
Ba 0.3750 0.4079 0.7500  2 F 2.71, 2 Os 2.94
Ba 0.1579 0.6250 0.2500  2 F 2.71, 2 Os 2.94
Ba 0.5921 0.1250 0.2500  2 F 2.71, 2 Os 2.94
F 0.5000 0.5000 0.0000  4 Ba 2.71
Os 0.0000 0.0000 0.0000  4 Ba 2.94
Ba 0.8750 0.8421 0.7500  2 F 2.71, 2 Os 2.94
Os 0.7500 0.2500 0.5000  4 Ba 2.94
F 0.2500 0.7500 0.5000  4 Ba 2.71